# 1
{"formula": "Ba4Ti11O26", "functional": "PBE-GGA", "state": "relaxed", "lattice": [[7.850, -0.006, -0.001], [1.948, 7.696, 0.009], [3.919, 1.492, 9.122]], "species": ["Ti", "O", "Ti", "O", "Ti", "Ba", "O", "O", "Ti", "O", "O", "O", "O", "Ba", "Ti", "O", "O", "O", "O", "O", "Ti", "O", "O", "O", "O", "Ti", "Ti", "O", "Ba", "O", "O", "O", "O", "O", "O", "Ti", "Ba", "Ti", "O", "O", "Ti"], "frac_coords": [[0.758, 0.241, 0.902], [0.747, 0.529, 0.242], [0.017, 0.475, 0.229], [0.721, 0.010, 0.015], [0.371, 0.348, 0.566], [0.365, 0.097, 0.221], [0.112, 0.336, 0.088], [0.352, 0.146, 0.705], [0.108, 0.668, 0.448], [0.255, 0.509, 0.233], [0.866, 0.702, 0.914], [0.262, 0.464, 0.760], [0.884, 0.602, 0.430], [0.860, 0.091, 0.234], [0.766, 0.762, 0.084], [0.121, 0.405, 0.555], [0.631, 0.343, 0.087], [0.480, 0.271, 0.898], [0.383, 0.601, 0.432], [0.613, 0.400, 0.574], [0.231, 0.248, 0.894], [0.990, 0.216, 0.914], [0.746, 0.463, 0.760], [0.984, 0.270, 0.384], [0.273, 0.994, 0.996], [0.490, 0.505, 0.777], [0.614, 0.663, 0.441], [0.626, 0.863, 0.312], [0.146, 0.876, 0.757], [0.013, 0.728, 0.114], [0.148, 0.848, 0.282], [0.509, 0.721, 0.118], [0.867, 0.146, 0.708], [0.496, 0.269, 0.384], [0.509, 0.732, 0.621], [0.265, 0.766, 0.090], [0.652, 0.891, 0.762], [0.514, 0.476, 0.230], [0.005, 0.800, 0.581], [0.380, 0.659, 0.912], [0.886, 0.347, 0.569]], "energy_ev_per_atom": -8.513}

# 2
{"formula": "Ba3Ti20O40", "functional": "PBE-GGA", "state": "relaxed", "lattice": [[-1.374, 5.820, -8.225], [-8.279, -3.224, 5.338], [6.215, 7.107, 4.092]], "species": ["O", "O", "Ba", "O", "O", "Ti", "Ti", "O", "O", "Ti", "O", "O", "O", "O", "Ti", "Ti", "O", "O", "Ti", "Ti", "Ti", "Ti", "O", "O", "O", "O", "O", "O", "Ti", "O", "Ti", "Ti", "O", "Ti", "O", "Ba", "O", "O", "Ti", "O", "O", "Ti", "O", "O", "Ti", "O", "O", "O", "O", "Ba", "Ti", "O", "O", "O", "Ti", "Ti", "O", "Ti", "O", "O", "O", "O", "O"], "frac_coords": [[0.146, 0.599, 0.098], [0.648, 0.000, 0.696], [0.635, 0.271, 0.635], [0.467, 0.599, 0.757], [0.868, 0.401, 0.158], [0.877, 0.402, 0.344], [0.736, 0.804, 0.252], [0.899, 0.196, 0.255], [0.898, 0.401, 0.544], [0.068, 0.804, 0.551], [0.854, 0.401, 0.902], [0.036, 0.000, 0.662], [0.439, 0.796, 0.063], [0.102, 0.599, 0.456], [0.750, 0.196, 0.933], [0.250, 0.804, 0.067], [0.748, 0.804, 0.699], [0.357, 0.796, 0.733], [0.475, 0.598, 0.942], [0.158, 0.000, 0.342], [0.932, 0.196, 0.449], [0.655, 0.598, 0.474], [0.243, 0.401, 0.860], [0.252, 0.196, 0.301], [0.693, 0.000, 0.348], [0.072, 0.795, 0.357], [0.158, 0.401, 0.541], [0.497, 0.599, 0.143], [0.944, 0.598, 0.125], [0.723, 0.795, 0.438], [0.553, 0.804, 0.737], [0.842, 0.000, 0.658], [0.503, 0.401, 0.857], [0.660, 0.000, 0.155], [0.548, 0.401, 0.499], [0.365, 0.729, 0.365], [0.277, 0.205, 0.562], [0.673, 0.000, 0.963], [0.056, 0.402, 0.875], [0.964, 0.000, 0.338], [0.352, 0.000, 0.304], [0.264, 0.196, 0.748], [0.944, 0.196, 0.895], [0.757, 0.599, 0.140], [0.525, 0.402, 0.058], [0.928, 0.205, 0.643], [0.132, 0.599, 0.842], [0.703, 0.804, 0.059], [0.842, 0.599, 0.459], [0.000, 0.000, 0.000], [0.123, 0.598, 0.656], [0.452, 0.599, 0.501], [0.533, 0.401, 0.243], [0.307, 0.000, 0.652], [0.447, 0.196, 0.263], [0.340, 0.000, 0.845], [0.643, 0.204, 0.267], [0.345, 0.402, 0.526], [0.327, 0.000, 0.037], [0.297, 0.196, 0.941], [0.101, 0.804, 0.745], [0.561, 0.204, 0.937], [0.056, 0.804, 0.105]], "energy_ev_per_atom": -8.783}

# 3
{"formula": "BaTi2O6", "functional": "PBE-GGA", "state": "relaxed", "lattice": [[-5.231, -0.444, 1.261], [2.081, -2.997, -3.980], [1.180, -3.872, 3.532]], "species": ["O", "O", "O", "O", "Ti", "O", "Ti", "O", "Ba"], "frac_coords": [[0.589, 0.000, 0.299], [0.411, 0.411, 0.299], [0.589, 0.589, 0.701], [0.000, 0.589, 0.299], [0.333, 0.667, 0.500], [0.411, 0.000, 0.701], [0.667, 0.333, 0.500], [0.000, 0.411, 0.701], [0.000, 0.000, 0.000]], "energy_ev_per_atom": -7.772}

no.,total magnetization (μB per cell)
1,0.0
2,6.2
3,2.0